Density functional theory data (GGA-PBE) for a geometry-optimized Ru5C structure.

abc: 5.0083 5.0083 5.0083
angles: 60.00 60.00 60.00
Fractional positions:
Ru 0.0000 0.0000 0.0000
Ru 0.1252 0.6249 0.6249
Ru 0.6249 0.1252 0.6249
Ru 0.6249 0.6249 0.1252
Ru 0.6249 0.6249 0.6249
C 0.2500 0.2500 0.2500

Results
* E above lowest polymorph: 1.416 eV/atom
* E_form: 1724.3 meV/atom
* SG: F-43m
* Fermi-level density of states: 10.8 states/eV/cell

=====

Density functional theory data (GGA-PBE) for a geometry-optimized Sm2VGe4Pt3 structure.

abc: 4.2263 4.2263 10.6870
angles: 90.00 90.00 90.00
Fractional positions:
Sm 0.0000 0.5000 0.2490
Sm 0.5000 0.0000 0.7510
V 0.0000 0.0000 0.5000
Ge 0.0000 0.0000 0.0000
Ge 0.0000 0.5000 0.6345
Ge 0.5000 0.0000 0.3655
Ge 0.5000 0.5000 0.0000
Pt 0.0000 0.5000 0.8680
Pt 0.5000 0.0000 0.1320
Pt 0.5000 0.5000 0.5000

Results
* E_form: -818.0 meV/atom
* SG: P-4m2
* Fermi-level density of states: 5.7 states/eV/cell

=====

Density functional theory data (GGA-PBE) for a geometry-optimized Be2FeAg structure.

abc: 4.6695 4.6695 4.6695
angles: 137.39 137.39 61.84
Fractional positions:
Be 0.0000 0.0000 0.0000
Be 0.7500 0.2500 0.5000
Fe 0.2500 0.7500 0.5000
Ag 0.5000 0.5000 0.0000

Results
* E above lowest polymorph: 0.295 eV/atom
* E_form: 295.6 meV/atom
* SG: I-4m2
* Fermi-level density of states: 4.1 states/eV/cell

=====

Density functional theory data (GGA-PBE) for a geometry-optimized PmBeC structure.

abc: 6.2924 5.1692 5.4678
angles: 90.00 90.00 90.00
Fractional positions:
Pm 0.1774 0.2500 0.1361
Pm 0.3226 0.7500 0.6361
Pm 0.6774 0.2500 0.3639
Pm 0.8226 0.7500 0.8639
Be 0.0554 0.2500 0.6630
Be 0.4446 0.7500 0.1630
Be 0.5554 0.2500 0.8370
Be 0.9446 0.7500 0.3370
C 0.1716 0.7500 0.1568
C 0.3284 0.2500 0.6568
C 0.6716 0.7500 0.3432
C 0.8284 0.2500 0.8432

Results
* E above lowest polymorph: 0.000 eV/atom
* E_form: -132.4 meV/atom
* SG: Pnma
* Fermi-level density of states: 4.1 states/eV/cell

=====

Density functional theory data (GGA-PBE) for a geometry-optimized ZrRe2W2 structure.

abc: 7.7409 7.7409 2.8986
angles: 90.00 90.00 90.00
Fractional positions:
Zr 0.0000 0.0000 0.0000
Zr 0.5000 0.5000 0.0000
Re 0.1504 0.3496 0.5000
Re 0.3496 0.8496 0.5000
Re 0.6504 0.1504 0.5000
Re 0.8496 0.6504 0.5000
W 0.1462 0.6462 0.0000
W 0.3538 0.1462 0.0000
W 0.6462 0.8538 0.0000
W 0.8538 0.3538 0.0000

Results
* E_form: 203.9 meV/atom
* SG: P4/mbm
* Fermi-level density of states: 9.0 states/eV/cell

=====

Density functional theory data (GGA-PBE) for a geometry-optimized GaRhSCl2 structure.

abc: 4.7335 4.7335 4.8853
angles: 90.00 90.00 90.00
Fractional positions:
Ga 0.0000 0.0000 0.0000
Rh 0.5000 0.5000 0.5000
S 0.0000 0.0000 0.5000
Cl 0.0000 0.5000 0.0000
Cl 0.5000 0.0000 0.0000

Results
* E above lowest polymorph: 0.534 eV/atom
* SG: P4/mmm
* Fermi-level density of states: 6.3 states/eV/cell
* E_form (uncorrected): 1.559 eV per formula unit

=====

Density functional theory data (GGA-PBE) for a geometry-optimized InSi2 structure.

abc: 3.5352 3.5352 4.8772
angles: 90.00 90.00 90.00
Fractional positions:
In 0.0000 0.0000 0.0000
Si 0.0000 0.5000 0.5000
Si 0.5000 0.0000 0.5000

Results
* E above lowest polymorph: 0.112 eV/atom
* SG: P4/mmm
* Fermi-level density of states: 0.6 states/eV/cell
* E_form (uncorrected): 1.041 eV per formula unit

=====

Density functional theory data (GGA-PBE) for a geometry-optimized SrPt2Pb4 structure.

abc: 19.7637 4.7048 7.8232
angles: 90.00 90.00 90.00
Fractional positions:
Sr 0.1431 0.2500 0.0313
Sr 0.3569 0.7500 0.5313
Sr 0.6431 0.2500 0.4687
Sr 0.8569 0.7500 0.9687
Pt 0.0397 0.7500 0.2342
Pt 0.2161 0.2500 0.5420
Pt 0.2839 0.7500 0.0420
Pt 0.4603 0.2500 0.7342
Pt 0.5397 0.7500 0.2658
Pt 0.7161 0.2500 0.9580
Pt 0.7839 0.7500 0.4580
Pt 0.9603 0.2500 0.7658
Pb 0.0322 0.7500 0.8583
Pb 0.0668 0.2500 0.4941
Pb 0.1818 0.7500 0.3288
Pb 0.1936 0.7500 0.7440
Pb 0.3064 0.2500 0.2440
Pb 0.3182 0.2500 0.8288
Pb 0.4332 0.7500 0.9941
Pb 0.4678 0.2500 0.3583
Pb 0.5322 0.7500 0.6417
Pb 0.5668 0.2500 0.0059
Pb 0.6818 0.7500 0.1712
Pb 0.6936 0.7500 0.7560
Pb 0.8064 0.2500 0.2560
Pb 0.8182 0.2500 0.6712
Pb 0.9332 0.7500 0.5059
Pb 0.9678 0.2500 0.1417

Results
* E above lowest polymorph: 0.000 eV/atom
* E_form: -402.7 meV/atom
* SG: Pnma
* Fermi-level density of states: 11.3 states/eV/cell

=====

Density functional theory data (GGA-PBE) for a geometry-optimized Pr6InTe3Se2 structure.

abc: 10.0252 10.0252 9.0760
angles: 104.38 104.38 25.16
Fractional positions:
Pr 0.0061 0.0061 0.2507
Pr 0.3275 0.3275 0.4323
Pr 0.3346 0.3346 0.9018
Pr 0.6654 0.6654 0.0982
Pr 0.6725 0.6725 0.5677
Pr 0.9939 0.9939 0.7493
In 0.5000 0.5000 0.0000
Te 0.1655 0.1655 0.8298
Te 0.5000 0.5000 0.5000
Te 0.8345 0.8345 0.1702
Se 0.1681 0.1681 0.3336
Se 0.8319 0.8319 0.6664

Results
* SG: C2/m
* Fermi-level density of states: 5.8 states/eV/cell
* E_form (uncorrected): -16.892 eV per formula unit

=====

Density functional theory data (GGA-PBE) for a geometry-optimized Ce2TaPd9 structure.

abc: 4.1067 4.1067 12.2991
angles: 90.00 90.00 90.00
Fractional positions:
Ce 0.0000 0.0000 0.1698
Ce 0.0000 0.0000 0.8302
Ta 0.0000 0.0000 0.5000
Pd 0.0000 0.5000 0.0000
Pd 0.0000 0.5000 0.3483
Pd 0.0000 0.5000 0.6517
Pd 0.5000 0.0000 0.0000
Pd 0.5000 0.0000 0.3483
Pd 0.5000 0.0000 0.6517
Pd 0.5000 0.5000 0.1753
Pd 0.5000 0.5000 0.5000
Pd 0.5000 0.5000 0.8247

Results
* E_form: -655.8 meV/atom
* SG: P4/mmm
* Fermi-level density of states: 13.3 states/eV/cell

=====

Density functional theory data (GGA-PBE) for a geometry-optimized RbCeCuBr6 structure.

abc: 7.0943 7.0943 15.7189
angles: 90.00 90.00 120.00
Fractional positions:
Rb 0.0000 0.0000 0.0000
Rb 0.0000 0.0000 0.5000
Ce 0.3333 0.6667 0.2500
Ce 0.6667 0.3333 0.7500
Cu 0.3333 0.6667 0.7500
Cu 0.6667 0.3333 0.2500
Br 0.0150 0.3742 0.6484
Br 0.0150 0.6408 0.8516
Br 0.3592 0.3742 0.8516
Br 0.3592 0.9850 0.6484
Br 0.3742 0.0150 0.1484
Br 0.3742 0.3592 0.3516
Br 0.6258 0.6408 0.6484
Br 0.6258 0.9850 0.8516
Br 0.6408 0.0150 0.3516
Br 0.6408 0.6258 0.1484
Br 0.9850 0.3592 0.1484
Br 0.9850 0.6258 0.3516

Results
* SG: P-31c
* Fermi-level density of states: 17.6 states/eV/cell
* E_form (uncorrected): -11.898 eV per formula unit

=====

Density functional theory data (GGA-PBE) for a geometry-optimized Na3BiF8 structure.

abc: 6.6526 6.6526 6.6526
angles: 131.54 131.54 70.96
Fractional positions:
Na 0.0000 0.0000 0.0000
Na 0.2500 0.7500 0.5000
Na 0.7500 0.2500 0.5000
Bi 0.5000 0.5000 0.0000
F 0.1545 0.1545 0.5411
F 0.1545 0.6134 0.0000
F 0.3866 0.3866 0.5411
F 0.3866 0.8455 0.0000
F 0.6134 0.1545 0.0000
F 0.6134 0.6134 0.4589
F 0.8455 0.3866 0.0000
F 0.8455 0.8455 0.4589

Results
* SG: I4/mmm
* E_form (uncorrected): -28.314 eV per formula unit

=====

Density functional theory data (GGA-PBE) for a geometry-optimized InGeW2 structure.

abc: 4.5721 4.5721 4.5721
angles: 60.00 60.00 60.00
Fractional positions:
In 0.0000 0.0000 0.0000
Ge 0.5000 0.5000 0.5000
W 0.2500 0.2500 0.2500
W 0.7500 0.7500 0.7500

Results
* E above lowest polymorph: 0.000 eV/atom
* E_form: 763.6 meV/atom
* SG: Fm-3m
* Fermi-level density of states: 2.4 states/eV/cell

=====

Density functional theory data (GGA-PBE) for a geometry-optimized KNa2AsPt structure.

abc: 5.5744 5.5744 4.7481
angles: 90.00 90.00 90.00
Fractional positions:
K 0.0000 0.0000 0.0000
Na 0.0000 0.5000 0.5000
Na 0.5000 0.0000 0.5000
As 0.5000 0.5000 0.0000
Pt 0.5000 0.5000 0.5000

Results
* E above lowest polymorph: 0.000 eV/atom
* E_form: -276.2 meV/atom
* SG: P4/mmm
* Fermi-level density of states: 2.2 states/eV/cell

=====

Density functional theory data (GGA-PBE) for a geometry-optimized ZrMo2Se structure.

abc: 3.3525 3.3877 6.5869
angles: 90.00 104.72 90.00
Fractional positions:
Zr 0.0000 0.0000 0.0000
Mo 0.2429 0.0000 0.4884
Mo 0.6383 0.5000 0.2769
Se 0.4026 0.5000 0.8044

Results
* SG: Pm
* Fermi-level density of states: 2.1 states/eV/cell
* E_form (uncorrected): -0.897 eV per formula unit

=====

Density functional theory data (GGA-PBE) for a geometry-optimized ErCd2Hg3 structure.

abc: 4.8616 15.1218 3.9177
angles: 90.00 90.00 90.00
Fractional positions:
Er 0.2500 0.2500 0.0013
Er 0.7500 0.7500 0.9987
Cd 0.2500 0.5769 0.9985
Cd 0.2500 0.9231 0.9985
Cd 0.7500 0.0769 0.0015
Cd 0.7500 0.4231 0.0015
Hg 0.2500 0.0894 0.5011
Hg 0.2500 0.4106 0.5011
Hg 0.2500 0.7500 0.4984
Hg 0.7500 0.2500 0.5016
Hg 0.7500 0.5894 0.4989
Hg 0.7500 0.9106 0.4989

Results
* E above lowest polymorph: 0.029 eV/atom
* E_form: -180.1 meV/atom
* SG: Pmmn
* Fermi-level density of states: 6.7 states/eV/cell

=====

Density functional theory data (GGA-PBE) for a geometry-optimized AcPuBe2O8 structure.

abc: 4.8076 4.8076 7.5213
angles: 107.84 107.84 68.62
Fractional positions:
Ac 0.0000 0.0000 0.0000
Pu 0.0000 0.0000 0.5000
Be 0.4427 0.4427 0.7235
Be 0.5573 0.5573 0.2765
O 0.1982 0.7061 0.2742
O 0.2509 0.2509 0.5410
O 0.2939 0.8018 0.7258
O 0.4043 0.4043 0.9278
O 0.5957 0.5957 0.0722
O 0.7061 0.1982 0.2742
O 0.7491 0.7491 0.4590
O 0.8018 0.2939 0.7258

Results
* SG: C2/m
* E_form (uncorrected): -28.321 eV per formula unit

=====

Density functional theory data (GGA-PBE) for a geometry-optimized KMn2Au structure.

abc: 3.1490 3.1490 8.5735
angles: 90.00 90.00 90.00
Fractional positions:
K 0.0000 0.0000 0.0000
Mn 0.0000 0.0000 0.5150
Mn 0.5000 0.5000 0.3346
Au 0.5000 0.5000 0.6989

Results
* E above lowest polymorph: 0.045 eV/atom
* E_form: 441.6 meV/atom
* SG: P4mm
* Fermi-level density of states: 3.1 states/eV/cell

=====

Density functional theory data (GGA-PBE) for a geometry-optimized BRh3Pb structure.

abc: 7.1465 7.1465 5.2220
angles: 90.00 90.00 138.07
Fractional positions:
B 0.1223 0.8777 0.7500
B 0.8777 0.1223 0.2500
Rh 0.0000 0.0000 0.0000
Rh 0.0000 0.0000 0.5000
Rh 0.0299 0.4909 0.2500
Rh 0.4909 0.0299 0.7500
Rh 0.5091 0.9701 0.2500
Rh 0.9701 0.5091 0.7500
Pb 0.4167 0.5833 0.7500
Pb 0.5833 0.4167 0.2500

Results
* E above lowest polymorph: 0.563 eV/atom
* E_form: 340.1 meV/atom
* SG: Cmcm
* Fermi-level density of states: 7.8 states/eV/cell

=====

Density functional theory data (GGA-PBE) for a geometry-optimized LiPdBr structure.

abc: 4.0683 4.0683 8.2908
angles: 90.00 90.00 120.00
Fractional positions:
Li 0.0000 0.0000 0.0000
Li 0.0000 0.0000 0.5000
Pd 0.3333 0.6667 0.1578
Pd 0.6667 0.3333 0.6578
Br 0.3333 0.6667 0.8561
Br 0.6667 0.3333 0.3561

Results
* E above lowest polymorph: 0.201 eV/atom
* SG: P6_3mc
* Fermi-level density of states: 0.0 states/eV/cell
* E_form (uncorrected): -1.316 eV per formula unit